Entry 1:
Entry from Alexandria: YHgTe2Pd after structural relaxation (PBE-GGA).

Results
- offset from the most stable computed form (meV/atom) = 0
- formation energy without anion corrections (eV per atom) = 0.092
- magnetization (μB/f.u.) = 0.00

a = 5.8457 Å, b = 5.8457 Å, c = 5.3293 Å
α = 90.00°, β = 90.00°, γ = 90.00°
Element x y z (fractional)
Y 0.0000 0.0000 0.0000
Hg 0.5000 0.5000 0.5000
Te 0.0000 0.5000 0.0000
Te 0.5000 0.0000 0.0000
Pd 0.0000 0.0000 0.5000

---

Entry 2:
Entry from Alexandria: K2DyHfTe4 after structural relaxation (PBE-GGA).

Results
- formation energy without anion corrections (eV per atom) = -1.116
- magnetization (μB/f.u.) = 0.00

a = 7.5196 Å, b = 4.3031 Å, c = 8.6650 Å
α = 90.00°, β = 106.52°, γ = 90.00°
Element x y z (fractional)
K 0.0000 0.0000 0.0000
K 0.5000 0.5000 0.0000
Dy 0.0000 0.5000 0.5000
Hf 0.5000 0.0000 0.5000
Te 0.2491 0.0000 0.7080
Te 0.2789 0.5000 0.2982
Te 0.7211 0.5000 0.7018
Te 0.7509 0.0000 0.2920

---

Entry 3:
Entry from Alexandria: La2ZrAuO after structural relaxation (PBE-GGA).

Results
- formation energy without anion corrections (eV per atom) = -1.283
- magnetization (μB/f.u.) = 1.02

a = 5.1666 Å, b = 5.1666 Å, c = 4.3168 Å
α = 90.00°, β = 90.00°, γ = 90.00°
Element x y z (fractional)
La 0.0000 0.5000 0.0000
La 0.5000 0.0000 0.0000
Zr 0.0000 0.0000 0.5000
Au 0.5000 0.5000 0.5000
O 0.0000 0.0000 0.0000

---

Entry 4:
Entry from Alexandria: TcSe2Cl after structural relaxation (PBE-GGA).

Results
- offset from the most stable computed form (meV/atom) = 65
- formation energy without anion corrections (eV per atom) = -0.155
- magnetization (μB/f.u.) = 0.00

a = 3.3769 Å, b = 3.3769 Å, c = 23.5932 Å
α = 90.00°, β = 90.00°, γ = 120.00°
Element x y z (fractional)
Tc 0.0000 0.0000 0.0000
Tc 0.3333 0.6667 0.6667
Tc 0.6667 0.3333 0.3333
Se 0.0000 0.0000 0.2640
Se 0.0000 0.0000 0.7360
Se 0.3333 0.6667 0.4027
Se 0.3333 0.6667 0.9307
Se 0.6667 0.3333 0.0693
Se 0.6667 0.3333 0.5973
Cl 0.0000 0.0000 0.5000
Cl 0.3333 0.6667 0.1667
Cl 0.6667 0.3333 0.8333

---

Entry 5:
Entry from Alexandria: Nd3Sm4Tm5 after structural relaxation (PBE-GGA).

Results
- offset from the most stable computed form (meV/atom) = 0
- energy of formation (eV/atom) = 0.019
- magnetization (μB/f.u.) = 0.00

a = 6.2002 Å, b = 7.1618 Å, c = 8.7717 Å
α = 89.98°, β = 89.93°, γ = 89.89°
Element x y z (fractional)
Nd 0.0000 0.0000 0.0000
Nd 0.1681 0.2496 0.3328
Nd 0.8319 0.7504 0.6672
Sm 0.1691 0.7500 0.3324
Sm 0.3317 0.4997 0.6702
Sm 0.6683 0.5003 0.3298
Sm 0.8309 0.2500 0.6676
Tm 0.0000 0.5000 0.0000
Tm 0.3350 0.0002 0.6700
Tm 0.4994 0.7506 0.0002
Tm 0.5006 0.2494 0.9998
Tm 0.6650 0.9998 0.3300

---

Entry 6:
Entry from Alexandria: SmMgGe4 after structural relaxation (PBE-GGA).

Results
- energy of formation (eV/atom) = -0.212
- magnetization (μB/f.u.) = 0.00

a = 5.6199 Å, b = 5.6199 Å, c = 5.6199 Å
α = 60.00°, β = 60.00°, γ = 60.00°
Element x y z (fractional)
Sm 0.0000 0.0000 0.0000
Mg 0.2500 0.2500 0.2500
Ge 0.1276 0.6241 0.6241
Ge 0.6241 0.1276 0.6241
Ge 0.6241 0.6241 0.1276
Ge 0.6241 0.6241 0.6241